(1)
DFT (PBEsol) results for a relaxed structure of Cd2TePOs.

Computed properties:
Space-group type = P4/mmm, No. 123
Uncorrected formation energy = 8.5 eV/f.u.
Density = 7.0 g/cm3
M_tot = 0.0 Bohr magnetons per cell

```
Cd2TePOs
1.0
5.323 0.000 0.000
0.000 5.323 0.000
0.000 0.000 4.812
Cd Te P Os
2 1 1 1
Direct
0.000 0.500 0.000
0.500 0.000 0.000
0.000 0.000 0.000
0.500 0.500 0.500
0.000 0.000 0.500
```

***

(2)
DFT (PBEsol) results for a relaxed structure of Cd2OsPb.

Computed properties:
Energy relative to the elements = 727 meV/atom
Space-group type = F-43m, No. 216
Density = 13.2 g/cm3
M_tot = 0.0 Bohr magnetons per cell

```
Cd2OsPb
1.0
0.000 3.391 3.391
3.391 0.000 3.391
3.391 3.391 0.000
Cd Os Pb
2 1 1
Direct
0.000 0.000 0.000
0.250 0.250 0.250
0.500 0.500 0.500
0.750 0.750 0.750
```

***

(3)
DFT (PBEsol) results for a relaxed structure of CdOs2Pb.

Computed properties:
Energy relative to the elements = 1034 meV/atom
Space-group type = P4/mmm, No. 123
Distance to the lowest polymorph of the same formula = 0.0 meV per atom
Density = 17.1 g/cm3
M_tot = 0.0 Bohr magnetons per cell

```
CdOs2Pb
1.0
4.597 0.000 0.000
0.000 4.597 0.000
0.000 0.000 3.222
Cd Os Pb
1 2 1
Direct
0.000 0.000 0.000
0.000 0.500 0.500
0.500 0.000 0.500
0.500 0.500 0.000
```

***

(4)
DFT (PBEsol) results for a relaxed structure of Cd3OsPb.

Computed properties:
Energy relative to the elements = 786 meV/atom
Space-group type = Pm-3m, No. 221
Density = 9.1 g/cm3
M_tot = 0.0 Bohr magnetons per cell

```
Cd3OsPb
1.0
5.115 0.000 0.000
0.000 5.115 0.000
0.000 0.000 5.115
Cd Os Pb
3 1 1
Direct
0.000 0.000 0.500
0.000 0.500 0.000
0.500 0.000 0.000
0.000 0.000 0.000
0.500 0.500 0.500
```

***

Final energy? In order: -3.092, -3.925, -6.373, -3.175 eV/atom.